Entry 1:
Nd2SmSiN4, optimized geometry, DFT PBE-GGA; DOS at the Fermi energy = 2.9 states/eV/cell; E_tot = -7.73 eV/atom; crystal system = orthorhombic; calculated volume = 15.34 A^3/atom; symmetry = Cmcm (63)
1.0
1.730 -5.839 0.000
1.730 5.839 0.000
0.000 0.000 12.152
Nd Sm Si N
4 2 2 8
Direct
0.133 0.867 0.543
0.133 0.867 0.957
0.867 0.133 0.043
0.867 0.133 0.457
0.404 0.596 0.750
0.596 0.404 0.250
0.319 0.681 0.250
0.681 0.319 0.750
0.096 0.904 0.750
0.224 0.776 0.139
0.224 0.776 0.361
0.500 0.500 0.000
0.500 0.500 0.500
0.776 0.224 0.639
0.776 0.224 0.861
0.904 0.096 0.250



Entry 2:
AcYTc2O8, optimized geometry, DFT PBE-GGA; E_tot = -8.03 eV/atom; crystal system = trigonal; calculated volume = 18.32 A^3/atom; symmetry = P-3m1 (164)
1.0
5.911 0.000 0.000
-2.956 5.119 0.000
0.000 0.000 7.264
Ac Y Tc O
1 1 2 8
Direct
0.000 0.000 0.000
0.000 0.000 0.500
0.333 0.667 0.785
0.667 0.333 0.215
0.158 0.317 0.717
0.158 0.842 0.717
0.317 0.158 0.283
0.333 0.667 0.033
0.667 0.333 0.967
0.683 0.842 0.717
0.842 0.158 0.283
0.842 0.683 0.283



Entry 3:
TbSm2Sc6, optimized geometry, DFT PBE-GGA; DOS at the Fermi energy = 16.8 states/eV/cell; E_tot = -5.65 eV/atom; formation enthalpy at 0 K = 12.9 kJ per mole of atoms; crystal system = monoclinic; calculated volume = 27.38 A^3/atom; symmetry = C2/m (12)
1.0
7.850 -4.870 0.000
7.850 4.870 0.000
-0.689 0.000 3.223
Tb Sm Sc
1 2 6
Direct
0.000 0.000 0.000
0.344 0.344 0.846
0.656 0.656 0.154
0.011 0.345 0.179
0.310 0.690 0.500
0.345 0.011 0.179
0.655 0.989 0.821
0.690 0.310 0.500
0.989 0.655 0.821



Entry 4:
BaHg2Br, optimized geometry, DFT PBE-GGA; DOS at the Fermi energy = 2.5 states/eV/cell; E_tot = -1.72 eV/atom; crystal system = cubic; calculated volume = 33.88 A^3/atom; symmetry = Fm-3m (225)
1.0
0.000 4.077 4.077
4.077 0.000 4.077
4.077 4.077 0.000
Ba Hg Br
1 2 1
Direct
0.000 0.000 0.000
0.250 0.250 0.250
0.750 0.750 0.750
0.500 0.500 0.500



Entry 5:
Mg2Cd4Ag, optimized geometry, DFT PBE-GGA; DOS at the Fermi energy = 1.2 states/eV/cell; E_tot = -1.33 eV/atom; formation enthalpy at 0 K = 4.9 kJ per mole of atoms; crystal system = orthorhombic; calculated volume = 23.62 A^3/atom; symmetry = Fmm2 (42)
1.0
0.000 5.732 3.216
4.484 0.000 3.216
4.484 5.732 0.000
Mg Cd Ag
2 4 1
Direct
0.000 0.000 0.500
0.500 0.500 0.000
0.071 0.364 0.636
0.105 0.687 0.895
0.364 0.071 0.929
0.687 0.105 0.313
0.579 0.579 0.421



| no. | theoretical density (g/cm³) |
| --- | --- |
| 1 | 7.08 |
| 2 | 4.83 |
| 3 | 4.91 |
| 4 | 7.58 |
| 5 | 6.09 |